(1)
Computed, not measured: a relaxed Rb3Mo2Br9 crystal at the PBE-GGA level of DFT.

## Properties
Formation energy (no corrections), meV per atom: -1085
SG: P6_3/mmc
M_tot, Bohr magnetons per cell: 8.00

Geometry as POSCAR:
```
Rb3Mo2Br9
1.0
-5.4115 -5.0049 2.1671
1.8667 0.6646 -7.4232
13.1229 -13.2747 2.1115
Br Mo Rb
18 4 6
Cartesian
-0.3262 -2.8907 -0.3408
0.5734 -5.8247 1.5992
-2.8968 -5.2682 0.6886
5.8250 -10.5978 -3.4601
3.7531 -7.0172 0.3155
2.0692 -9.0790 -2.1813
8.0768 -12.1207 -1.0537
9.9043 -14.7242 -2.8037
1.5013 -5.4943 -2.0909
12.4750 -12.3467 -3.8332
-2.0101 -4.9525 -2.8377
11.5882 -12.6625 -0.3069
-1.1887 -7.9822 -1.0136
8.3956 -8.2202 -4.4896
1.1825 -9.3947 1.3450
7.5089 -8.5360 -0.9633
9.0048 -11.7903 -4.7437
10.7669 -9.6327 -2.1310
-0.7001 -5.4268 -0.6620
1.2907 -7.4407 -0.3416
8.2874 -10.1743 -2.8030
10.2783 -12.1882 -2.4826
3.2807 -3.3187 0.5279
4.3795 -10.5652 0.1554
0.2441 -2.0380 -4.0971
9.3340 -15.5770 0.9526
9.8422 -9.9560 1.5836
5.1987 -7.0498 -3.3000
```

=====

(2)
Computed, not measured: a relaxed Hf6PdO crystal at the PBE-GGA level of DFT.

## Properties
Formation energy (no corrections), meV per atom: -769
SG: P-1
M_tot, Bohr magnetons per cell: 0.00

Geometry as POSCAR:
```
Hf6PdO
1.0
-2.3105 1.0359 -4.3881
3.0231 -1.6766 -4.7319
-1.8088 -5.3790 -0.2178
O Pd Hf
1 1 6
Cartesian
0.0000 0.0000 0.0000
-0.5481 -3.0099 -4.6690
-0.2381 -5.5411 -5.5058
-0.0320 -4.4094 -8.1415
-0.5173 -4.7865 -2.1249
-0.8580 -0.4786 -3.8321
-1.0642 -1.6104 -1.1964
-0.5788 -1.2332 -7.2130
```

=====

(3)
Computed, not measured: a relaxed Pm7AuSe5 crystal at the PBE-GGA level of DFT.

## Properties
Formation energy (no corrections), meV per atom: -1539
SG: C2/m
M_tot, Bohr magnetons per cell: 0.00

Geometry as POSCAR:
```
Pm7AuSe5
1.0
-1.7822 3.7208 -0.1681
-0.7160 -2.3283 6.7650
21.8964 10.7604 6.0264
Pm Se Au
14 10 2
Cartesian
16.1219 10.4177 8.9526
8.7951 6.7094 4.5528
3.2744 1.7347 3.6800
-0.5186 2.1326 1.9910
6.4182 3.2797 4.5466
13.0581 6.4724 4.8179
12.9779 8.8725 8.0827
19.9151 10.0199 10.6422
10.6014 5.4428 8.0756
19.2329 9.5070 6.5217
0.1654 2.6464 6.1112
3.9787 2.2547 7.7236
6.3369 5.6792 7.8101
15.4168 9.8972 4.9078
10.8995 7.7982 6.3398
0.6680 0.5068 4.1353
18.7286 11.6457 8.4979
8.4968 4.3540 6.2888
2.0888 3.3591 1.4951
12.6623 6.5103 9.8549
10.9468 5.3796 3.0153
6.7340 5.6419 2.7744
0.0000 0.0002 0.0048
17.3072 8.7932 11.1380
3.6085 4.2664 5.4652
15.7884 7.8863 7.1669
```

=====

(4)
Computed, not measured: a relaxed SrTl3Bi3 crystal at the PBE-GGA level of DFT.

## Properties
ΔH_f (0 K), eV/f.u.: 1.41
SG: Pm-3n
M_tot, Bohr magnetons per cell: 0.00

Geometry as POSCAR:
```
SrTl3Bi3
1.0
-2.1893 6.8637 4.6762
-2.8222 -5.1630 6.2569
7.8111 0.0583 3.5713
Bi Tl Sr
6 6 2
Cartesian
-3.0531 2.5663 6.6356
1.7889 -3.8431 6.4784
3.2000 -1.2616 3.3499
0.8581 3.4464 3.2309
-1.9584 -0.8656 4.2975
4.7637 3.4756 5.0166
-3.2113 -0.4404 7.0308
3.3582 1.7451 2.9547
-1.8002 2.1411 3.9023
4.4472 -2.5378 5.8070
2.2636 5.1769 5.2928
0.5417 -2.5669 4.0213
0.0000 0.0000 0.0000
1.3998 0.8795 7.2522
```

=====

(5)
Computed, not measured: a relaxed Ac6Ni2OsCl2 crystal at the PBE-GGA level of DFT.

## Properties
Formation energy (no corrections), meV per atom: -708
SG: C2/m
M_tot, Bohr magnetons per cell: 0.00

Geometry as POSCAR:
```
Ac6Ni2OsCl2
1.0
7.5146 -0.0695 0.0830
-3.7745 6.4982 0.0830
-1.3245 -2.2766 7.6040
Ni Cl Ac Os
2 2 6 1
Cartesian
-0.7074 3.1902 3.8850
3.1229 0.9619 3.8850
5.6527 1.0137 0.0830
-1.9127 5.4150 0.0830
1.7876 -1.1656 5.4223
1.8149 3.1196 5.5197
0.6007 1.0325 2.2503
-1.8968 0.9779 5.4223
0.6280 5.3177 2.3478
4.3123 3.1742 2.3478
-0.6622 -1.1383 3.8020
```

=====

(6)
Computed, not measured: a relaxed IrRuN2 crystal at the PBE-GGA level of DFT.

## Properties
Formation energy (no corrections), meV per atom: 438
SG: R-3m
Energy above the lowest structure with this stoichiometry, meV/atom: 0
M_tot, Bohr magnetons per cell: 0.00

Geometry as POSCAR:
```
IrRuN2
1.0
-6.4987 -0.6528 1.4440
-5.3584 -0.3694 3.9870
-5.9286 1.9000 2.4468
Ir N Ru
1 2 1
Cartesian
0.0000 0.0000 0.0000
-1.7715 0.0874 0.7846
-16.0142 0.7904 7.0932
-8.8928 0.4389 3.9389
```

=====

(7)
Computed, not measured: a relaxed PrDyTh crystal at the PBE-GGA level of DFT.

## Properties
ΔH_f (0 K), eV/f.u.: 0.03
SG: R3m
Energy above the lowest structure with this stoichiometry, meV/atom: 0
M_tot, Bohr magnetons per cell: 0.00

Geometry as POSCAR:
```
PrDyTh
1.0
-4.8906 -6.9692 2.9387
-2.5058 -8.6176 0.7628
-1.5920 -7.8186 4.1784
Dy Pr Th
1 1 1
Cartesian
-0.0181 -0.0472 0.0159
-4.9691 -12.9394 4.3563
-6.9691 -18.1473 6.1096
```

=====

(8)
Computed, not measured: a relaxed HfIn2Br crystal at the PBE-GGA level of DFT.

## Properties
Formation energy (no corrections), meV per atom: 364
SG: Fm-3m
Energy above the lowest structure with this stoichiometry, meV/atom: 149
M_tot, Bohr magnetons per cell: 0.00

Geometry as POSCAR:
```
HfIn2Br
1.0
0.0000 3.7312 3.7312
3.7312 0.0000 3.7312
3.7312 3.7312 0.0000
In Br Hf
2 1 1
Cartesian
1.8656 1.8656 1.8656
5.5968 5.5968 5.5968
0.0000 0.0000 0.0000
3.7312 3.7312 3.7312
```

=====

(9)
Computed, not measured: a relaxed Na2TiSi crystal at the PBE-GGA level of DFT.

## Properties
Formation energy (no corrections), meV per atom: 598
SG: I-42d
M_tot, Bohr magnetons per cell: 4.00

Geometry as POSCAR:
```
Na2TiSi
1.0
-0.4670 -1.5940 -8.4271
1.7937 -8.2711 1.4651
-1.9061 -5.4473 -3.2412
Na Si Ti
4 2 2
Cartesian
0.5652 -6.8022 -1.3268
-0.5232 -3.3203 -5.5153
-0.8514 -8.1567 -4.9758
-0.3494 -12.3456 -8.5885
0.2755 -9.3255 -2.6286
0.6633 -4.9326 -3.4810
0.0000 0.0000 0.0000
-0.8549 -5.9870 -7.5747
```

=====

(10)
Computed, not measured: a relaxed LiB2Os crystal at the PBE-GGA level of DFT.

## Properties
ΔH_f (0 K), eV/f.u.: 1.33
SG: Fm-3m
Energy above the lowest structure with this stoichiometry, meV/atom: 0
M_tot, Bohr magnetons per cell: 0.00

Geometry as POSCAR:
```
LiB2Os
1.0
2.0570 -3.0547 0.5454
-1.6408 -3.2038 0.9504
-0.1540 -2.8079 -2.4396
Li B Os
1 2 1
Cartesian
0.0000 0.0000 0.0000
0.1966 -6.7998 -0.7078
0.0655 -2.2666 -0.2359
0.1311 -4.5332 -0.4719
```

=====

(11)
Computed, not measured: a relaxed LaTlCo2 crystal at the PBE-GGA level of DFT.

## Properties
ΔH_f (0 K), eV/f.u.: 0.84
SG: Imm2
Energy above the lowest structure with this stoichiometry, meV/atom: 228
M_tot, Bohr magnetons per cell: 2.08

Geometry as POSCAR:
```
LaTlCo2
1.0
6.3704 -0.0276 -0.3483
5.2438 3.6173 -0.3483
1.5187 0.4694 3.7656
La Co Tl
1 2 1
Cartesian
6.7106 2.0741 1.4711
10.7796 3.3317 -0.3278
3.9534 1.2219 0.4713
9.8699 3.0505 2.2926
```

=====

(12)
Computed, not measured: a relaxed TbPmSm6Y2 crystal at the PBE-GGA level of DFT.

## Properties
ΔH_f (0 K), eV/f.u.: 1.22
SG: C2/c
M_tot, Bohr magnetons per cell: 0.00

Geometry as POSCAR:
```
TbPmSm6Y2
1.0
9.2076 -1.9665 -2.0407
0.8109 8.6562 -1.9917
0.8109 -2.3111 8.5764
Sm Tb Y Pm
12 2 4 2
Cartesian
4.9983 -0.8243 6.2083
8.7677 -0.3768 2.0195
6.7731 -2.5095 3.4229
8.6601 -0.1181 5.9046
4.1639 3.0153 0.7187
2.1693 4.4968 -1.3606
5.8311 5.2029 -1.6643
1.2273 -0.8728 6.1580
2.0618 4.7554 2.5246
9.6021 5.2514 -1.6140
6.6656 1.3634 3.8254
4.0563 6.8882 1.1211
3.1128 7.8317 -2.1811
7.7166 -3.4530 6.7251
5.4355 -0.0433 1.0221
0.8317 2.0062 1.0150
5.3939 4.4219 3.5219
9.9977 2.3724 3.5290
7.7166 2.7108 0.7856
3.1128 1.6678 3.7584
```